Record 1
# Nd2GeAs, relaxed, DFT PBE
# DOS at the Fermi energy ... 3.3 states/eV/cell
# Offset from the most stable computed form ... 0.00 eV/f.u.
# Energy of formation ... -1.17 eV/atom
# Magnetic moment ... 0.00 μB/cell
data_Nd2GeAs
_chemical_formula_sum 'Nd4 Ge2 As2'
_space_group_name_H-M_alt 'P 1'
_space_group_IT_number 1
_space_group_name_Hall 'P 1'
_cell_length_a 4.156
_cell_length_b 4.378
_cell_length_c 11.982
_cell_angle_alpha 100.53
_cell_angle_beta 90.00
_cell_angle_gamma 90.00
loop_
_atom_site_label
_atom_site_fract_x
_atom_site_fract_y
_atom_site_fract_z
Nd1 0.750 0.687 0.374
Nd2 0.250 0.313 0.626
Nd3 0.750 0.935 0.869
Nd4 0.250 0.065 0.131
Ge1 0.250 0.461 0.922
Ge2 0.750 0.539 0.078
As1 0.250 0.188 0.376
As2 0.750 0.812 0.624

Record 2
# Tm2FeCo3, relaxed, DFT PBE
# DOS at the Fermi energy ... 7.2 states/eV/cell
# Offset from the most stable computed form ... 2.68 eV/f.u.
# Energy of formation ... 0.21 eV/atom
# Magnetic moment ... 4.91 μB/cell
data_Tm2FeCo3
_chemical_formula_sum 'Tm2 Fe1 Co3'
_space_group_name_H-M_alt 'P 1'
_space_group_IT_number 1
_space_group_name_Hall 'P 1'
_cell_length_a 4.210
_cell_length_b 5.015
_cell_length_c 5.800
_cell_angle_alpha 115.62
_cell_angle_beta 111.28
_cell_angle_gamma 90.00
loop_
_atom_site_label
_atom_site_fract_x
_atom_site_fract_y
_atom_site_fract_z
Tm1 0.686 0.186 0.373
Tm2 0.314 0.814 0.627
Fe1 0.000 0.500 0.000
Co1 0.381 0.381 0.761
Co2 0.000 0.000 0.000
Co3 0.619 0.619 0.239

Record 3
# SiI2NF, relaxed, DFT PBE
# DOS at the Fermi energy ... 1.7 states/eV/cell
# Raw formation energy ... 1.248 eV per atom
# Offset from the most stable computed form ... 5.85 eV/f.u.
# Magnetic moment ... 2.11 μB/cell
data_SiI2NF
_chemical_formula_sum 'Si1 I2 N1 F1'
_space_group_name_H-M_alt 'P 1'
_space_group_IT_number 1
_space_group_name_Hall 'P 1'
_cell_length_a 5.983
_cell_length_b 5.983
_cell_length_c 3.510
_cell_angle_alpha 90.00
_cell_angle_beta 90.00
_cell_angle_gamma 90.00
loop_
_atom_site_label
_atom_site_fract_x
_atom_site_fract_y
_atom_site_fract_z
I1 0.000 0.500 0.000
I2 0.500 0.000 0.000
Si1 0.500 0.500 0.500
N1 0.000 0.000 0.500
F1 0.000 0.000 0.000

Question: Look up the offset from the most stable computed form of the first one.
Answer: 0.00 eV/f.u.

Question: Among the records above, which one has the lowest offset from the most stable computed form?
Answer: Nd2GeAs

Question: Among the records above, which one has the highest magnetic moment?
Answer: Tm2FeCo3